# 1
{
  "formula": "CaPm3Y6Ho2",
  "functional": "GGA-PBE",
  "state": "relaxed",
  "n_ef_per_ev_cell": 20.20,
  "magmom_total_mub_per_cell": 0.0,
  "formation_energy_ev_per_atom": 0.053,
  "cell": [[3.128, -5.417, 0.000], [3.128, 5.417, 0.000], [-2.082, 0.000, 11.739]],
  "species": ["Ca", "Pm", "Pm", "Pm", "Y", "Y", "Y", "Y", "Y", "Y", "Ho", "Ho"],
  "fractional_positions": [[0.000, 0.000, 0.000], [0.165, 0.835, 0.500], [0.500, 0.500, 0.500], [0.835, 0.165, 0.500], [0.084, 0.423, 0.250], [0.255, 0.255, 0.750], [0.423, 0.084, 0.250], [0.577, 0.916, 0.750], [0.745, 0.745, 0.250], [0.916, 0.577, 0.750], [0.333, 0.667, 0.000], [0.667, 0.333, 0.000]]
}

# 2
{
  "formula": "Ge2BN",
  "functional": "GGA-PBE",
  "state": "relaxed",
  "n_ef_per_ev_cell": 0.00,
  "magmom_total_mub_per_cell": 0.0,
  "raw_formation_energy_ev_per_atom": 0.095,
  "cell": [[4.680, 0.000, 0.000], [0.000, 4.680, 0.000], [0.000, 0.000, 9.463]],
  "species": ["Ge", "Ge", "Ge", "Ge", "Ge", "Ge", "Ge", "Ge", "B", "B", "B", "B", "N", "N", "N", "N"],
  "fractional_positions": [[0.249, 0.250, 0.125], [0.250, 0.749, 0.375], [0.250, 0.751, 0.875], [0.251, 0.250, 0.625], [0.749, 0.750, 0.625], [0.750, 0.249, 0.875], [0.750, 0.251, 0.375], [0.751, 0.750, 0.125], [0.000, 0.000, 0.500], [0.000, 0.500, 0.750], [0.500, 0.000, 0.250], [0.500, 0.500, 0.000], [0.000, 0.000, 0.000], [0.000, 0.500, 0.250], [0.500, 0.000, 0.750], [0.500, 0.500, 0.500]]
}

# 3
{
  "formula": "Nd4Tl2Zn",
  "functional": "GGA-PBE",
  "state": "relaxed",
  "n_ef_per_ev_cell": 9.55,
  "magmom_total_mub_per_cell": 0.0,
  "formation_energy_ev_per_atom": -0.223,
  "cell": [[2.694, 1.556, 8.703], [-2.694, 1.556, 8.703], [0.000, -3.111, 8.703]],
  "species": ["Nd", "Nd", "Nd", "Nd", "Tl", "Tl", "Zn"],
  "fractional_positions": [[0.124, 0.124, 0.124], [0.375, 0.375, 0.375], [0.625, 0.625, 0.625], [0.876, 0.876, 0.876], [0.250, 0.250, 0.250], [0.750, 0.750, 0.750], [0.500, 0.500, 0.500]]
}

# 4
{
  "formula": "SrLaO3",
  "functional": "GGA-PBE",
  "state": "relaxed",
  "n_ef_per_ev_cell": 0.72,
  "magmom_total_mub_per_cell": 1.0,
  "raw_formation_energy_ev_per_atom": -1.835,
  "cell": [[4.402, 0.000, 0.000], [0.000, 4.402, 0.000], [0.000, 0.000, 4.402]],
  "species": ["Sr", "La", "O", "O", "O"],
  "fractional_positions": [[0.000, 0.000, 0.000], [0.500, 0.500, 0.500], [0.000, 0.000, 0.500], [0.000, 0.500, 0.000], [0.500, 0.000, 0.000]]
}

# 5
{
  "formula": "TbPOs",
  "functional": "GGA-PBE",
  "state": "relaxed",
  "n_ef_per_ev_cell": 10.33,
  "magmom_total_mub_per_cell": 0.0,
  "formation_energy_ev_per_atom": -0.226,
  "cell": [[0.000, 5.268, 6.724], [3.333, 0.000, 6.724], [3.333, 5.268, 0.000]],
  "species": ["Tb", "Tb", "Tb", "Tb", "P", "P", "P", "P", "Os", "Os", "Os", "Os"],
  "fractional_positions": [[0.060, 0.060, 0.690], [0.310, 0.310, 0.940], [0.690, 0.690, 0.060], [0.940, 0.940, 0.310], [0.106, 0.644, 0.644], [0.356, 0.894, 0.894], [0.644, 0.106, 0.106], [0.894, 0.356, 0.356], [0.000, 0.500, 0.500], [0.500, 0.000, 0.500], [0.500, 0.500, 0.000], [0.500, 0.500, 0.500]]
}

# 6
{
  "formula": "ErThMgZr",
  "functional": "GGA-PBE",
  "state": "relaxed",
  "n_ef_per_ev_cell": 26.24,
  "magmom_total_mub_per_cell": 3.0,
  "formation_energy_ev_per_atom": 0.109,
  "cell": [[7.558, 0.000, 0.000], [0.000, 7.558, 0.000], [0.000, 0.000, 7.558]],
  "species": ["Er", "Er", "Er", "Er", "Th", "Th", "Th", "Th", "Mg", "Mg", "Mg", "Mg", "Zr", "Zr", "Zr", "Zr"],
  "fractional_positions": [[0.000, 0.000, 0.000], [0.000, 0.500, 0.500], [0.500, 0.000, 0.500], [0.500, 0.500, 0.000], [0.000, 0.000, 0.500], [0.000, 0.500, 0.000], [0.500, 0.000, 0.000], [0.500, 0.500, 0.500], [0.250, 0.250, 0.250], [0.250, 0.750, 0.750], [0.750, 0.250, 0.750], [0.750, 0.750, 0.250], [0.250, 0.250, 0.750], [0.250, 0.750, 0.250], [0.750, 0.250, 0.250], [0.750, 0.750, 0.750]]
}

> What is the formula in the fourth record?

SrLaO3